The following is a DFT calculation (PBE) of a relaxed structure of Tl3Sn2Hg4.

Lattice parameters (Å, degrees): 4.4851 7.1653 9.6691 112.88 90.00 108.24
Positions (direct):
Hg  0.3138  0.6276  0.9471
Hg  0.6862  0.3724  0.0529
Hg  0.0393  0.0787  0.3645
Hg  0.9607  0.9213  0.6355
Tl  0.0000  0.0000  0.0000
Tl  0.6370  0.2740  0.6984
Tl  0.3630  0.7260  0.3016
Sn  0.6956  0.3911  0.3789
Sn  0.3044  0.6089  0.6211

Computed properties:
- M_tot (μB per formula unit) = 0.0
- space group = C2/m
- uncorrected energy (eV per atom) = -1.7939
- N(E_F) (states/eV/cell) = 4.0
- ΔH_f (0 K) (eV/f.u.) = 0.17
- E above lowest polymorph (eV/f.u.) = 0.00